{
  "formula": "VZnInF6",
  "functional": "PBE+U",
  "state": "optimized geometry",
  "lattice": [[5.456, 0.000, 0.000], [-2.679, 4.759, 0.000], [-0.033, -0.036, 5.884]],
  "species": ["V", "Zn", "In", "F", "F", "F", "F", "F", "F"],
  "frac_coords": [[0.000, 0.000, 0.000], [0.335, 0.664, 0.000], [0.664, 0.336, 0.500], [0.045, 0.721, 0.812], [0.046, 0.319, 0.188], [0.279, 0.954, 0.188], [0.286, 0.319, 0.815], [0.680, 0.954, 0.811], [0.681, 0.714, 0.184]],
  "final_energy_ev_per_atom": -4.950,
  "vol_a3_per_cell": 152.8,
  "magmom_total_mub_per_fu": 1.99,
  "n_ef_per_ev_cell": 0.00,
  "mass_density_g_cm3": 3.752
}